First-principles (GGA-PBE) data for MnReHg2 after structural relaxation, as listed in Alexandria via LeMat-Bulk.

Computed properties:
- Theoretical density: 14.65 g cm⁻³
- Relative energy among the computed polymorphs: 98 meV/atom
- Fermi-level density of states: 2.19 states/eV/f.u.
- Energy of formation from the pure elements: 488.5 meV per atom

Unit cell a=2.864 b=2.864 c=9.659 alpha=90.00 beta=90.00 gamma=113.24
Atoms (fractional coordinates):
1 Mn 0.000 0.000 0.525
2 Hg 0.000 0.000 0.980
3 Hg 0.500 0.500 0.280
4 Re 0.500 0.500 0.715

***

First-principles (GGA-PBE) data for Mn2ReHg after structural relaxation, as listed in Alexandria via LeMat-Bulk.

Computed properties:
- Theoretical density: 13.37 g cm⁻³
- Fermi-level density of states: 3.44 states/eV/f.u.
- Energy of formation from the pure elements: 486.7 meV per atom

Unit cell a=4.595 b=4.596 c=2.921 alpha=90.00 beta=90.00 gamma=90.00
Atoms (fractional coordinates):
1 Hg 0.000 0.500 0.500
2 Mn 0.000 0.000 0.000
3 Mn 0.500 0.500 0.000
4 Re 0.500 0.000 0.500

***

First-principles (GGA-PBE) data for MnReHg2 after structural relaxation, as listed in Alexandria via LeMat-Bulk.

Computed properties:
- Theoretical density: 15.14 g cm⁻³
- Relative energy among the computed polymorphs: 339 meV/atom
- Fermi-level density of states: 2.77 states/eV/f.u.
- Energy of formation from the pure elements: 729.2 meV per atom

Unit cell a=4.274 b=2.834 c=6.459 alpha=64.18 beta=90.00 gamma=90.00
Atoms (fractional coordinates):
1 Re 0.500 0.750 0.750
2 Hg 0.000 0.500 0.499
3 Hg 0.000 0.000 0.001
4 Mn 0.500 0.250 0.250

***

First-principles (GGA-PBE) data for MnReHg3 after structural relaxation, as listed in Alexandria via LeMat-Bulk.

Computed properties:
- Theoretical density: 9.41 g cm⁻³
- Relative energy among the computed polymorphs: 0 meV/atom
- Fermi-level density of states: 5.52 states/eV/f.u.
- Energy of formation from the pure elements: 1294.4 meV per atom

Unit cell a=5.299 b=5.299 c=5.299 alpha=90.00 beta=90.00 gamma=90.00
Atoms (fractional coordinates):
1 Re 0.000 0.000 0.000
2 Mn 0.500 0.500 0.500
3 Hg 0.000 0.500 0.000
4 Hg 0.500 0.000 0.000
5 Hg 0.000 0.000 0.500

***

First-principles (GGA-PBE) data for Mn2ReHg after structural relaxation, as listed in Alexandria via LeMat-Bulk.

Computed properties:
- Theoretical density: 13.85 g cm⁻³
- Fermi-level density of states: 4.10 states/eV/f.u.
- Energy of formation from the pure elements: 575.9 meV per atom

Unit cell a=4.902 b=4.902 c=4.902 alpha=134.20 beta=134.20 gamma=66.78
Atoms (fractional coordinates):
1 Hg 0.750 0.250 0.500
2 Mn 0.000 0.000 0.000
3 Mn 0.250 0.750 0.500
4 Re 0.500 0.500 0.000

***

First-principles (GGA-PBE) data for MnReHg2 after structural relaxation, as listed in Alexandria via LeMat-Bulk.

Computed properties:
- Theoretical density: 15.14 g cm⁻³
- Relative energy among the computed polymorphs: 392 meV/atom
- Fermi-level density of states: 3.22 states/eV/f.u.
- Energy of formation from the pure elements: 782.9 meV per atom

Unit cell a=5.436 b=5.436 c=5.436 alpha=145.00 beta=129.37 gamma=63.03
Atoms (fractional coordinates):
1 Re 0.250 0.750 0.500
2 Hg 0.990 0.990 0.000
3 Hg 0.510 0.510 0.000
4 Mn 0.750 0.250 0.500

***

First-principles (GGA-PBE) data for Mn2ReHg after structural relaxation, as listed in Alexandria via LeMat-Bulk.

Computed properties:
- Theoretical density: 12.88 g cm⁻³
- Fermi-level density of states: 2.76 states/eV/f.u.
- Energy of formation from the pure elements: 372.4 meV per atom

Unit cell a=8.917 b=8.917 c=8.917 alpha=18.75 beta=18.75 gamma=18.75
Atoms (fractional coordinates):
1 Mn 0.507 0.507 0.507
2 Mn 0.993 0.993 0.993
3 Re 0.250 0.250 0.250
4 Hg 0.750 0.750 0.750

***

First-principles (GGA-PBE) data for MnReHg4 after structural relaxation, as listed in Alexandria via LeMat-Bulk.

Computed properties:
- Theoretical density: 13.82 g cm⁻³
- Fermi-level density of states: 3.82 states/eV/f.u.
- Energy of formation from the pure elements: 1090.6 meV per atom

Unit cell a=5.618 b=5.618 c=5.618 alpha=60.00 beta=60.00 gamma=60.00
Atoms (fractional coordinates):
1 Hg 0.375 0.876 0.375
2 Hg 0.375 0.375 0.876
3 Hg 0.375 0.375 0.375
4 Hg 0.876 0.375 0.375
5 Re 0.000 0.000 0.000
6 Mn 0.750 0.750 0.750

***

First-principles (GGA-PBE) data for MnReHg after structural relaxation, as listed in Alexandria via LeMat-Bulk.

Computed properties:
- Theoretical density: 14.88 g cm⁻³
- Relative energy among the computed polymorphs: 81 meV/atom
- Fermi-level density of states: 1.90 states/eV/f.u.
- Energy of formation from the pure elements: 515.7 meV per atom

Unit cell a=7.156 b=6.966 c=2.784 alpha=82.51 beta=74.81 gamma=22.69
Atoms (fractional coordinates):
1 Mn 0.679 0.679 0.321
2 Re 0.316 0.316 0.684
3 Hg 0.005 0.005 0.995

***

First-principles (GGA-PBE) data for MnRe4Hg after structural relaxation, as listed in Alexandria via LeMat-Bulk.

Computed properties:
- Theoretical density: 16.41 g cm⁻³
- Fermi-level density of states: 4.96 states/eV/f.u.
- Energy of formation from the pure elements: 657.7 meV per atom

Unit cell a=5.232 b=5.232 c=5.232 alpha=60.00 beta=60.00 gamma=60.00
Atoms (fractional coordinates):
1 Re 0.375 0.375 0.876
2 Re 0.375 0.375 0.375
3 Re 0.876 0.375 0.375
4 Re 0.375 0.876 0.375
5 Hg 0.750 0.750 0.750
6 Mn 0.000 0.000 0.000

***

First-principles (GGA-PBE) data for MnReHg2 after structural relaxation, as listed in Alexandria via LeMat-Bulk.

Computed properties:
- Theoretical density: 14.77 g cm⁻³
- Relative energy among the computed polymorphs: 256 meV/atom
- Fermi-level density of states: 2.52 states/eV/f.u.
- Energy of formation from the pure elements: 647.0 meV per atom

Unit cell a=5.622 b=5.622 c=5.024 alpha=66.82 beta=66.82 gamma=29.86
Atoms (fractional coordinates):
1 Hg 0.985 0.985 0.063
2 Hg 0.763 0.763 0.692
3 Mn 0.528 0.528 0.525
4 Re 0.224 0.224 0.220

***

First-principles (GGA-PBE) data for Mn2ReHg after structural relaxation, as listed in Alexandria via LeMat-Bulk.

Computed properties:
- Theoretical density: 12.34 g cm⁻³
- Fermi-level density of states: 3.71 states/eV/f.u.
- Energy of formation from the pure elements: 877.6 meV per atom

Unit cell a=6.982 b=6.982 c=5.647 alpha=51.81 beta=51.81 gamma=90.00
Atoms (fractional coordinates):
1 Mn 0.167 0.625 0.250
2 Mn 0.875 0.833 0.750
3 Mn 0.375 0.417 0.750
4 Mn 0.583 0.125 0.250
5 Re 0.250 0.750 0.500
6 Re 0.500 0.500 0.000
7 Hg 0.750 0.250 0.500
8 Hg 0.000 0.000 0.000